Compound: YErAgBi
Source: Alexandria
Functional: PBE-GGA
Structure: relaxed

Values from the calculation:
- M_tot: 0.94 μB per formula unit
- Total DFT energy (no corrections): -19.4 eV/f.u.

Cell: 5.293 5.293 5.293 Å, 60.00 60.00 60.00°
Last column: magnetic moment on the atom in μB.
Sites, in units of the cell vectors:
Er  0.250  0.250  0.250  0.31
Y  0.750  0.750  0.750  0.25
Ag  0.000  0.000  0.000  0.02
Bi  0.500  0.500  0.500  -0.01